No. 1
## KSrPd3 (meta-GGA SCAN)

Data for KSrPd3 at its PBEsol-relaxed geometry.

a = 5.2765 Å, b = 5.2765 Å, c = 5.2765 Å
α = 90.00°, β = 90.00°, γ = 90.00°
Space group Pm-3m (No. 221)
One atom of each set of equivalent atoms:
K1 0.0000 0.0000 0.0000 (multiplicity 1)
Sr1 0.5000 0.5000 0.5000 (multiplicity 1)
Pd1 0.0000 0.5000 0.5000 (multiplicity 3)

Summary:
Energy of formation from the pure elements   58.5 kJ/mol of atoms
E   -25.1787 eV/atom
D(E_F)   1.94 states/eV per cell

No. 2
## PrP2H7O7 (meta-GGA SCAN)

Data for PrP2H7O7 at its PBEsol-relaxed geometry.

a = 6.6148 Å, b = 7.1319 Å, c = 16.2069 Å
α = 90.00°, β = 90.00°, γ = 90.00°
Space group P2_12_12_1 (No. 19)
One atom of each set of equivalent atoms:
Pr1 0.1426 0.1560 0.2231 (multiplicity 4)
P1 0.1684 0.3799 0.4277 (multiplicity 4)
P2 0.1869 0.3413 0.7081 (multiplicity 4)
H1 0.0327 0.3347 0.4931 (multiplicity 4)
H2 0.0602 0.7504 0.5831 (multiplicity 4)
H3 0.1372 0.3047 0.6244 (multiplicity 4)
H4 0.1460 0.5807 0.9688 (multiplicity 4)
H5 0.2165 0.0226 0.9091 (multiplicity 4)
H6 0.2377 0.7557 0.4077 (multiplicity 4)
H7 0.2488 0.8359 0.5312 (multiplicity 4)
O1 0.0063 0.8658 0.7439 (multiplicity 4)
O2 0.0971 0.5610 0.3871 (multiplicity 4)
O3 0.1699 0.4883 0.2095 (multiplicity 4)
O4 0.1752 0.1451 0.9334 (multiplicity 4)
O5 0.1801 0.8245 0.2377 (multiplicity 4)
O6 0.1909 0.8198 0.5882 (multiplicity 4)
O7 0.1937 0.2065 0.3738 (multiplicity 4)

Summary:
E   -9.4861 eV/atom
D(E_F)   0.00 states/eV per cell

No. 3
## TaFePt2 (meta-GGA SCAN)

Data for TaFePt2 at its PBEsol-relaxed geometry.

a = 3.8570 Å, b = 3.8570 Å, c = 7.7708 Å
α = 90.00°, β = 90.00°, γ = 90.00°
Space group I-4m2 (No. 119)
One atom of each set of equivalent atoms:
Ta1 0.0000 0.0000 0.0000 (multiplicity 2)
Fe1 0.0000 0.5000 0.7500 (multiplicity 2)
Pt1 0.0000 0.0000 0.5000 (multiplicity 2)
Pt2 0.0000 0.5000 0.2500 (multiplicity 2)

Summary:
Energy of formation from the pure elements   -57.0 kJ/mol of atoms
E   -56.8660 eV/atom
D(E_F)   6.03 states/eV per cell